Entry from Alexandria: crystalline Pm2Dy3Th2 at its relaxed geometry (PBE).

Structure (POSCAR):
```
Pm2Dy3Th2
1.0
17.613 0.000 0.000
0.000 3.457 0.000
-4.231 0.000 7.533
Pm Dy Th
4 6 4
Direct
0.063 0.000 0.216 Pm
0.437 0.500 0.784 Pm
0.563 0.500 0.216 Pm
0.937 0.000 0.784 Pm
0.000 0.500 0.500 Dy
0.216 0.500 0.634 Dy
0.284 0.000 0.366 Dy
0.500 0.000 0.500 Dy
0.716 0.000 0.634 Dy
0.784 0.500 0.366 Dy
0.154 0.500 0.956 Th
0.346 0.000 0.044 Th
0.654 0.000 0.956 Th
0.846 0.500 0.044 Th
```

formation energy	0.142	eV per atom
space-group type	C2/m
magnetic moment	0.00	μB per cell

=====

Entry from Alexandria: crystalline HoEr3 at its relaxed geometry (PBE).

Structure (POSCAR):
```
HoEr3
1.0
4.954 0.000 0.000
0.000 4.954 0.000
0.000 0.000 4.954
Ho Er
1 3
Direct
0.000 0.000 0.000 Ho
0.000 0.500 0.500 Er
0.500 0.000 0.500 Er
0.500 0.500 0.000 Er
```

formation energy	0.024	eV per atom
space-group type	Pm-3m
magnetic moment	0.00	μB per cell

=====

Entry from Alexandria: crystalline La2Tb6CeY3 at its relaxed geometry (PBE).

Structure (POSCAR):
```
La2Tb6CeY3
1.0
3.113 -5.396 0.000
3.113 5.396 0.000
-2.080 0.000 11.715
La Tb Ce Y
2 6 1 3
Direct
0.166 0.834 0.000 La
0.834 0.166 0.000 La
0.086 0.416 0.748 Tb
0.254 0.254 0.253 Tb
0.416 0.086 0.748 Tb
0.584 0.914 0.252 Tb
0.746 0.746 0.747 Tb
0.914 0.584 0.252 Tb
0.500 0.500 0.000 Ce
0.000 0.000 0.500 Y
0.333 0.667 0.500 Y
0.667 0.333 0.500 Y
```

formation energy	0.040	eV per atom
space-group type	C2/m
magnetic moment	1.01	μB per cell

=====

Entry from Alexandria: crystalline Mg4CdPb2 at its relaxed geometry (PBE).

Structure (POSCAR):
```
Mg4CdPb2
1.0
-4.458 4.458 4.492
4.458 -4.458 4.492
4.458 4.458 -4.492
Mg Cd Pb
8 2 4
Direct
0.135 0.041 0.749 Mg
0.136 0.543 0.751 Mg
0.293 0.386 0.251 Mg
0.457 0.209 0.594 Mg
0.614 0.865 0.906 Mg
0.615 0.864 0.406 Mg
0.791 0.385 0.249 Mg
0.959 0.707 0.094 Mg
0.250 0.750 0.500 Cd
0.500 0.500 0.000 Cd
0.375 0.004 0.129 Pb
0.754 0.625 0.629 Pb
0.875 0.246 0.871 Pb
0.996 0.125 0.371 Pb
```

formation energy	-0.006	eV per atom
space-group type	I-42d
magnetic moment	0.00	μB per cell

=====

Entry from Alexandria: crystalline Ce4Y3Te8 at its relaxed geometry (PBE).

Structure (POSCAR):
```
Ce4Y3Te8
1.0
4.385 2.531 8.231
-4.385 2.531 8.231
0.000 -5.063 8.231
Ce Y Te
4 3 8
Direct
0.000 0.000 0.000 Ce
0.143 0.143 0.143 Ce
0.500 0.500 0.500 Ce
0.857 0.857 0.857 Ce
0.000 0.500 0.500 Y
0.500 0.000 0.500 Y
0.500 0.500 0.000 Y
0.250 0.250 0.732 Te
0.250 0.732 0.250 Te
0.267 0.267 0.267 Te
0.268 0.750 0.750 Te
0.732 0.250 0.250 Te
0.733 0.733 0.733 Te
0.750 0.268 0.750 Te
0.750 0.750 0.268 Te
```

formation energy without anion corrections	-1.165	eV/atom
space-group type	R-3m
magnetic moment	5.58	μB per cell

=====

Entry from Alexandria: crystalline TbFeAs2Rh5 at its relaxed geometry (PBE).

Structure (POSCAR):
```
TbFeAs2Rh5
1.0
4.013 0.000 0.000
0.000 4.013 0.000
0.000 0.000 11.587
Tb Fe As Rh
1 1 2 5
Direct
0.000 0.000 0.000 Tb
0.500 0.500 0.500 Fe
0.500 0.500 0.299 As
0.500 0.500 0.701 As
0.000 0.500 0.181 Rh
0.000 0.500 0.819 Rh
0.500 0.000 0.181 Rh
0.500 0.000 0.819 Rh
0.500 0.500 0.000 Rh
```

formation energy	-0.077	eV per atom
space-group type	P4/mmm
magnetic moment	3.43	μB per cell

=====

Entry from Alexandria: crystalline Pm6Dy2YHo at its relaxed geometry (PBE).

Structure (POSCAR):
```
Pm6Dy2YHo
1.0
4.597 -7.664 0.000
4.597 7.664 0.000
-1.245 0.000 9.562
Pm Dy Y Ho
12 4 2 2
Direct
0.014 0.566 0.187 Pm
0.121 0.759 0.554 Pm
0.241 0.879 0.946 Pm
0.291 0.506 0.381 Pm
0.434 0.986 0.313 Pm
0.494 0.709 0.119 Pm
0.506 0.291 0.881 Pm
0.566 0.014 0.687 Pm
0.709 0.494 0.619 Pm
0.759 0.121 0.054 Pm
0.879 0.241 0.446 Pm
0.986 0.434 0.813 Pm
0.200 0.302 0.045 Dy
0.302 0.200 0.545 Dy
0.698 0.800 0.455 Dy
0.800 0.698 0.955 Dy
0.026 0.974 0.250 Y
0.974 0.026 0.750 Y
0.410 0.590 0.750 Ho
0.590 0.410 0.250 Ho
```

formation energy	0.114	eV per atom
space-group type	C2/c
magnetic moment	0.00	μB per cell

=====

Entry from Alexandria: crystalline NaTiNbO5 at its relaxed geometry (PBE).

Structure (POSCAR):
```
NaTiNbO5
1.0
3.752 -4.546 0.000
3.752 4.546 0.000
-3.155 0.000 6.748
Na Ti Nb O
2 2 2 10
Direct
0.198 0.802 0.750 Na
0.802 0.198 0.250 Na
0.500 0.500 0.000 Ti
0.500 0.500 0.500 Ti
0.164 0.836 0.250 Nb
0.836 0.164 0.750 Nb
0.171 0.244 0.886 O
0.232 0.666 0.430 O
0.244 0.171 0.386 O
0.334 0.768 0.070 O
0.460 0.540 0.750 O
0.540 0.460 0.250 O
0.666 0.232 0.930 O
0.756 0.829 0.614 O
0.768 0.334 0.570 O
0.829 0.756 0.114 O
```

formation energy without anion corrections	-2.586	eV/atom
space-group type	C2/c
magnetic moment	0.00	μB per cell

=====

These records have V values of 32.76 30.39 32.80 25.51 36.54 20.73 33.69 14.39 Å³/atom, in the order they appear.